1.
Computed, not measured: crystalline Nd3CBr at its relaxed geometry at the PBE level of DFT.

Calculated values
mass density: 6.520 g/cm³
raw total energy: -5.319 eV per atom
SG: Pmmn (59)

```
10
Lattice="3.731 0.000 0.000 0.000 9.093 0.000 0.000 0.000 7.876" Properties=species:S:1:pos:R:3 pbc="T T T"
Nd 0.933 0.642 1.260
Nd 0.933 2.273 6.104
Nd 0.933 3.904 1.260
Nd 2.798 5.189 6.616
Nd 2.798 6.820 1.773
Nd 2.798 8.451 6.616
C 0.933 6.820 0.106
C 2.798 2.273 7.771
Br 0.933 6.820 4.402
Br 2.798 2.273 3.474
```

***

2.
Computed, not measured: crystalline TaTe4Cl4O at its relaxed geometry at the PBE level of DFT.

Calculated values
mass density: 4.347 g/cm³
raw total energy: -4.648 eV per atom
SG: P2_1/c (14)

```
80
Lattice="8.338 0.000 0.000 0.000 13.720 0.000 -2.627 0.000 22.681" Properties=species:S:1:pos:R:3 pbc="T T T"
Ta -0.939 0.886 8.799
Ta -2.252 5.974 20.140
Ta -2.438 9.407 21.817
Ta -1.125 11.173 10.476
Ta 6.836 2.547 12.204
Ta 8.149 4.313 0.864
Ta 7.964 7.746 2.541
Ta 6.650 12.834 13.881
Te 1.116 0.004 3.009
Te -0.197 6.856 14.349
Te 0.996 9.368 13.833
Te 2.310 11.212 2.493
Te 2.093 0.540 5.473
Te 0.779 6.320 16.814
Te 2.182 7.935 6.677
Te 0.868 12.646 18.017
Te 0.920 9.789 17.975
Te 2.233 10.792 6.634
Te 0.865 1.472 21.330
Te 2.178 5.388 9.990
Te 1.619 2.723 18.030
Te 2.933 4.137 6.689
Te 2.611 8.017 9.530
Te 1.297 12.563 20.870
Te 4.414 1.157 1.810
Te 3.100 5.703 13.151
Te 2.778 9.583 15.992
Te 4.092 10.997 4.651
Te 3.533 8.332 12.691
Te 4.846 12.248 1.351
Te 3.478 2.929 16.046
Te 4.792 3.932 4.706
Te 4.843 1.075 4.663
Te 3.530 5.786 16.004
Te 4.932 7.400 5.867
Te 3.618 13.180 17.208
Te 3.401 2.508 20.188
Te 4.715 4.352 8.848
Te 4.595 13.716 19.672
Te 5.908 6.864 8.332
Cl -0.802 2.985 7.592
Cl -2.116 3.876 18.933
Cl -1.920 7.123 17.942
Cl -0.606 13.457 6.602
Cl -0.781 9.955 8.396
Cl -2.094 10.625 19.737
Cl -1.145 8.890 11.594
Cl 0.168 11.690 0.254
Cl 0.832 2.772 12.461
Cl 2.146 4.088 1.121
Cl 1.970 7.663 3.049
Cl 0.657 12.917 14.390
Cl 1.401 0.899 9.060
Cl 0.088 5.961 20.400
Cl -0.077 9.387 22.162
Cl 1.237 11.193 10.821
Cl 4.474 2.527 11.859
Cl 5.788 4.333 0.519
Cl 5.623 7.759 2.281
Cl 4.310 12.821 13.621
Cl 5.054 0.803 8.291
Cl 3.741 6.057 19.631
Cl 3.566 9.632 21.560
Cl 4.879 10.948 10.220
Cl 5.543 2.030 22.427
Cl 6.856 4.830 11.087
Cl 7.805 3.095 2.944
Cl 6.492 3.765 14.284
Cl 6.317 0.263 16.079
Cl 7.631 6.597 4.739
Cl 7.827 9.845 3.748
Cl 6.513 10.736 15.088
O -2.377 7.747 20.932
O -0.059 8.651 0.909
O -1.372 11.929 12.249
O -1.063 12.833 9.592
O 6.774 0.887 13.089
O 7.083 1.791 10.432
O 5.770 5.069 21.772
O 8.088 5.973 1.749
```

***

3.
Computed, not measured: crystalline TiPd5 at its relaxed geometry at the PBE level of DFT.

Calculated values
mass density: 10.442 g/cm³
raw total energy: -6.014 eV per atom
SG: Amm2 (38)

```
12
Lattice="4.522 0.000 0.000 0.000 2.861 0.000 0.000 0.000 14.256" Properties=species:S:1:pos:R:3 pbc="T T T"
Ti 0.000 0.000 0.000
Ti 0.000 1.431 7.128
Pd 0.000 0.000 4.879
Pd 0.000 0.000 9.449
Pd 0.000 1.431 2.321
Pd 0.000 1.431 12.007
Pd 2.261 0.000 3.165
Pd 2.261 0.000 7.903
Pd 2.261 0.000 12.678
Pd 2.261 1.431 0.775
Pd 2.261 1.431 5.550
Pd 2.261 1.431 10.293
```

***

4.
Computed, not measured: crystalline K2PrSi2O6 at its relaxed geometry at the PBE level of DFT.

Calculated values
mass density: 3.302 g/cm³
raw total energy: -6.827 eV per atom
SG: C2/m (12)

```
11
Lattice="5.181 -2.994 0.000 5.181 2.994 0.000 -3.673 0.000 6.018" Properties=species:S:1:pos:R:3 pbc="T T T"
K 1.550 0.000 0.957
K 5.139 0.000 5.060
Pr -1.836 0.000 3.009
Si 1.752 0.000 4.753
Si 4.936 0.000 1.265
O 4.077 1.368 1.414
O 0.284 0.000 4.082
O 2.611 1.368 4.604
O 4.077 -1.368 1.414
O 6.404 0.000 1.936
O 2.611 -1.368 4.604
```